1.
First-principles (GGA-PBE) data for a relaxed MoWSe3S crystal, as listed in the Alexandria database.

Unit cell a=3.2899 b=3.2899 c=37.2758 alpha=90.00 beta=90.00 gamma=120.00
Sites, in units of the cell vectors:
Mo: 0.0000 0.0000 0.0000
Mo: 0.3333 0.6667 0.1896
W: 0.0000 0.0000 0.3771
W: 0.3333 0.6667 0.5728
Se: 0.0000 0.0000 0.5273
Se: 0.0000 0.0000 0.6183
Se: 0.3333 0.6667 0.0452
Se: 0.3333 0.6667 0.3316
Se: 0.3333 0.6667 0.4225
Se: 0.3333 0.6667 0.9548
S: 0.0000 0.0000 0.1485
S: 0.0000 0.0000 0.2308

Calculated values
Crystal system ... trigonal
Formation energy (no corrections) ... -0.66 eV per atom

2.
First-principles (GGA-PBE) data for a relaxed AgNClF2 crystal, as listed in the Alexandria database.

Unit cell a=4.7568 b=4.7568 c=3.2711 alpha=90.00 beta=90.00 gamma=90.00
Sites, in units of the cell vectors:
Ag: 0.0000 0.0000 0.0000
N: 0.5000 0.5000 0.0000
Cl: 0.5000 0.5000 0.5000
F: 0.0000 0.5000 0.5000
F: 0.5000 0.0000 0.5000

Calculated values
Crystal system ... tetragonal
Formation energy (no corrections) ... 0.49 eV per atom

Values for offset from the most stable computed form, kcal/mol of atoms, ordered as above
0.40; 0.00